Compound: Ac8CdSi3I4
Source: Alexandria
Functional: PBE
Structure: relaxed

Cell and atoms, written as POSCAR:
```
Ac8CdSi3I4
1.0
4.661 2.691 8.024
-4.661 2.691 8.024
0.000 -5.382 8.024
Ac Cd Si I
8 1 3 4
direct
0.225 0.742 0.742
0.233 0.233 0.233
0.258 0.258 0.775
0.258 0.775 0.258
0.742 0.225 0.742
0.742 0.742 0.225
0.767 0.767 0.767
0.775 0.258 0.258
0.500 0.500 0.500
0.000 0.000 0.500
0.000 0.500 0.000
0.500 0.000 0.000
0.000 0.000 0.000
0.000 0.500 0.500
0.500 0.000 0.500
0.500 0.500 0.000
```

Calculated values
**Uncorrected energy**: -4.3224 eV/atom
**V**: 604 Å³ per cell
**Magnetization**: 0.0 μB per formula unit

Compound: Ba2Bi2Pb
Source: Alexandria
Functional: PBE
Structure: relaxed

Cell and atoms, written as POSCAR:
```
Ba2Bi2Pb
1.0
-2.546 3.769 5.209
2.546 -3.769 5.209
2.546 3.769 -5.209
Ba Bi Pb
2 2 1
direct
0.213 0.213 0.000
0.787 0.787 0.000
0.210 0.500 0.710
0.790 0.500 0.290
0.500 0.000 0.500
```

Calculated values
**Relative energy among the computed polymorphs**: 0.0 kJ/mol of atoms
**V**: 200 Å³ per cell
**Magnetization**: 0.0 μB per formula unit
**ΔE_f**: -0.708 eV/atom

Compound: Hg6Br2O2F
Source: Alexandria
Functional: PBE
Structure: relaxed

Cell and atoms, written as POSCAR:
```
Hg6Br2O2F
1.0
5.865 -3.187 0.000
5.865 3.187 0.000
-3.117 0.000 7.827
Hg Br O F
6 2 2 1
direct
0.100 0.667 0.733
0.333 0.900 0.267
0.346 0.346 0.338
0.654 0.654 0.662
0.667 0.100 0.733
0.900 0.333 0.267
0.241 0.241 0.850
0.759 0.759 0.150
0.464 0.464 0.661
0.536 0.536 0.339
0.000 0.000 0.000
```

Calculated values
**Uncorrected energy**: -1.8852 eV/atom
**V**: 293 Å³ per cell
**Magnetization**: 0.0 μB per formula unit

Q: Which value of V does entry 1 give?
A: 604 Å³ per cell

Q: What is the formula in the third record?
A: Hg6Br2O2F